1.
Na3UNb2N6 | the Alexandria database | PBE | optimized geometry; M_tot = 0.009 μB per formula unit; DOS(E_F) = 5.6 states/eV per cell; formation energy from raw total energies = -850 meV per atom
1.0
2.827 -4.892 0.000
2.827 4.892 0.000
-1.877 0.000 5.692
Na U Nb N
3 1 2 6
Cartesian
0.000 0.000 0.000
2.827 1.669 0.000
2.827 -1.669 0.000
1.889 0.000 2.846
1.889 3.265 2.846
1.889 -3.265 2.846
0.936 1.645 1.759
-0.015 0.000 3.934
0.936 -1.645 1.759
2.841 1.645 3.933
3.792 0.000 1.758
2.841 -1.645 3.933

2.
Na4U3NbN8 | the Alexandria database | PBE | optimized geometry; M_tot = 3.063 μB per formula unit; DOS(E_F) = 6.9 states/eV per cell; formation energy from raw total energies = -958 meV per atom
1.0
3.412 1.970 5.700
-3.412 1.970 5.700
0.000 -3.940 5.700
Na U Nb N
4 3 1 8
Cartesian
0.000 0.000 0.000
-1.706 -0.985 5.700
-1.706 0.985 11.401
0.000 1.970 5.700
-3.412 0.000 8.550
-1.706 0.985 2.850
1.706 0.985 2.850
0.000 0.000 8.550
0.000 0.000 3.921
-1.682 -0.971 9.607
0.000 -1.943 7.494
-1.682 0.971 7.494
1.682 -0.971 9.607
0.000 1.943 9.607
1.682 0.971 7.494
0.000 0.000 13.180

3.
Na2NbVN4 | the Alexandria database | PBE | optimized geometry; M_tot = 0.000 μB per formula unit; DOS(E_F) = 0.0 states/eV per cell; formation energy from raw total energies = -695 meV per atom
1.0
6.503 0.000 0.000
0.000 6.552 0.000
0.000 0.000 5.540
Na Nb V N
4 2 2 8
Cartesian
1.627 1.061 0.000
1.625 5.491 2.770
4.877 1.061 0.000
4.878 5.491 2.770
0.000 2.330 2.687
3.252 4.222 5.457
0.000 4.309 5.451
3.252 2.243 2.681
0.000 2.716 0.778
0.000 4.000 3.683
1.571 5.212 0.288
1.681 1.340 3.058
3.252 2.551 0.913
3.252 3.835 3.548
4.823 1.340 3.058
4.932 5.212 0.288